1.
Computed, not measured: crystalline YMgTl2 at its relaxed geometry at the GGA-PBE level of DFT.

Properties
DFT formation energy = -0.277 eV per atom
Space-group type = No. 123

a = 4.763 Å, b = 4.764 Å, c = 4.483 Å
α = 90.00°, β = 90.00°, γ = 89.98°
Fractional coordinates of all 4 atoms:
Y (0.500, 0.000, 0.500)
Tl (0.000, 0.000, 0.000)
Tl (0.500, 0.500, 0.000)
Mg (0.000, 0.500, 0.500)



2.
Computed, not measured: crystalline BaGe6As8 at its relaxed geometry at the GGA-PBE level of DFT.

Properties
DFT formation energy = 0.020 eV per atom
Space-group type = No. 148

a = 7.603 Å, b = 7.603 Å, c = 7.603 Å
α = 79.79°, β = 79.79°, γ = 79.79°
Fractional coordinates of all 15 atoms:
Ba (0.000, 0.000, 0.000)
Ge (0.658, 0.478, 0.853)
Ge (0.478, 0.853, 0.658)
Ge (0.853, 0.658, 0.478)
Ge (0.342, 0.522, 0.147)
Ge (0.522, 0.147, 0.342)
Ge (0.147, 0.342, 0.522)
As (0.777, 0.777, 0.777)
As (0.223, 0.223, 0.223)
As (0.596, 0.815, 0.312)
As (0.815, 0.312, 0.596)
As (0.312, 0.596, 0.815)
As (0.404, 0.185, 0.688)
As (0.185, 0.688, 0.404)
As (0.688, 0.404, 0.185)



3.
Computed, not measured: crystalline Pr2NdHoEr2 at its relaxed geometry at the GGA-PBE level of DFT.

Properties
DFT formation energy = 0.065 eV per atom
Space-group type = No. 26

a = 5.700 Å, b = 7.079 Å, c = 9.866 Å
α = 90.00°, β = 90.00°, γ = 90.00°
Fractional coordinates of all 12 atoms:
Pr (0.500, 0.008, 0.000)
Pr (0.000, 0.258, 0.177)
Pr (0.500, 0.508, 0.000)
Pr (0.000, 0.758, 0.823)
Nd (0.500, 0.257, 0.657)
Nd (0.500, 0.757, 0.343)
Ho (0.000, 0.007, 0.500)
Ho (0.000, 0.507, 0.500)
Er (0.000, 0.258, 0.836)
Er (0.500, 0.257, 0.331)
Er (0.000, 0.758, 0.164)
Er (0.500, 0.757, 0.669)



4.
Computed, not measured: crystalline Th2Mg2In3 at its relaxed geometry at the GGA-PBE level of DFT.

Properties
DFT formation energy = -0.214 eV per atom
Space-group type = No. 63

a = 4.779 Å, b = 7.635 Å, c = 10.491 Å
α = 90.00°, β = 103.16°, γ = 90.00°
Fractional coordinates of all 14 atoms:
Th (0.150, 0.250, 0.301)
Th (0.850, 0.750, 0.699)
Th (0.954, 0.250, 0.909)
Th (0.046, 0.750, 0.091)
Mg (0.693, 0.946, 0.386)
Mg (0.307, 0.054, 0.614)
Mg (0.307, 0.446, 0.614)
Mg (0.693, 0.554, 0.386)
In (0.218, 0.750, 0.436)
In (0.782, 0.250, 0.564)
In (0.564, 0.439, 0.127)
In (0.436, 0.561, 0.873)
In (0.436, 0.939, 0.873)
In (0.564, 0.061, 0.127)



5.
Computed, not measured: crystalline Nb2In2PdS6 at its relaxed geometry at the GGA-PBE level of DFT.

Properties
Space-group type = No. 12
Formation energy without anion corrections = -0.585 eV/atom

a = 6.357 Å, b = 6.357 Å, c = 7.203 Å
α = 96.73°, β = 96.73°, γ = 123.01°
Fractional coordinates of all 11 atoms:
Nb (0.360, 0.640, 0.500)
Nb (0.640, 0.360, 0.500)
In (0.829, 0.171, 0.000)
In (0.171, 0.829, 0.000)
Pd (0.000, 0.000, 0.500)
S (0.740, 0.740, 0.719)
S (0.048, 0.423, 0.704)
S (0.260, 0.260, 0.281)
S (0.423, 0.048, 0.704)
S (0.952, 0.577, 0.296)
S (0.577, 0.952, 0.296)



6.
Computed, not measured: crystalline Nd3NpSe6 at its relaxed geometry at the GGA-PBE level of DFT.

Properties
Excess energy over the best structure of this formula in the dataset = 20 meV/atom
Space-group type = No. 14
Formation energy without anion corrections = -1.624 eV/atom

a = 7.025 Å, b = 7.794 Å, c = 10.753 Å
α = 90.00°, β = 90.17°, γ = 90.00°
Site moments in Bohr magnetons follow the coordinates.
Fractional coordinates of all 20 atoms:
Nd (0.546, 0.896, 0.749)  0.04
Nd (0.500, 0.500, 0.000)  0.03
Nd (0.454, 0.104, 0.251)  0.04
Nd (0.046, 0.604, 0.249)  0.04
Nd (0.000, 0.000, 0.500)  0.03
Nd (0.954, 0.396, 0.751)  0.04
Np (0.500, 0.500, 0.500)  3.84
Np (0.000, 0.000, 0.000)  3.84
Se (0.674, 0.181, 0.917)  -0.03
Se (0.667, 0.185, 0.583)  -0.03
Se (0.660, 0.438, 0.253)  -0.02
Se (0.340, 0.562, 0.747)  -0.02
Se (0.333, 0.815, 0.417)  -0.03
Se (0.326, 0.819, 0.083)  -0.03
Se (0.174, 0.319, 0.417)  -0.03
Se (0.167, 0.315, 0.083)  -0.03
Se (0.160, 0.062, 0.753)  -0.02
Se (0.840, 0.938, 0.247)  -0.02
Se (0.833, 0.685, 0.917)  -0.03
Se (0.826, 0.681, 0.583)  -0.03



How do the records compare in DFT total energy? In the order shown, they have -3.47, -4.43, -4.61, -3.96, -5.64, -6.44 eV/atom.
How do the records compare in magnetization? In the order shown, they have 0.0, 0.0, 0.0, 0.0, 0.0, 8.0 μB/cell.